Record 1
Er9Tm4Al11 after structural relaxation, computed with PBE.

Geometry as extended XYZ:
```
24
Lattice="7.584 -11.107 0.000 7.584 11.107 0.000 0.000 0.000 3.324" Properties=species:S:1:pos:R:3 pbc="T T T"
Er 0.000 0.000 0.000
Er 5.886 6.125 0.000
Er 5.945 2.134 0.000
Er 9.282 6.125 0.000
Er 5.945 -2.134 0.000
Er 9.223 2.134 0.000
Er 5.886 -6.125 0.000
Er 9.223 -2.134 0.000
Er 9.282 -6.125 0.000
Tm 2.666 1.836 0.000
Tm 2.666 -1.836 0.000
Tm 12.502 1.836 0.000
Tm 12.502 -1.836 0.000
Al 4.162 4.134 1.662
Al 7.584 8.423 1.662
Al 4.535 0.000 1.662
Al 7.584 4.170 1.662
Al 4.162 -4.134 1.662
Al 7.584 0.000 1.662
Al 11.006 4.134 1.662
Al 7.584 -4.170 1.662
Al 10.633 0.000 1.662
Al 7.584 -8.423 1.662
Al 11.006 -4.134 1.662
```

Computed properties:
energy of formation = -753 kJ/mol of formula units
N(E_F) = 14.55 states/eV/f.u.

=====

Record 2
TaMnW3 after structural relaxation, computed with PBE.

Geometry as extended XYZ:
```
5
Lattice="4.461 0.000 0.000 0.000 4.461 0.000 0.000 0.000 4.461" Properties=species:S:1:pos:R:3 pbc="T T T"
Ta 0.000 0.000 0.000
Mn 2.231 2.231 2.231
W 0.000 2.231 2.231
W 2.231 0.000 2.231
W 2.231 2.231 0.000
```

Computed properties:
energy of formation = 584 kJ/mol of formula units
energy above the lowest structure with this stoichiometry = 0 meV/atom
N(E_F) = 5.28 states/eV/f.u.

=====

Record 3
LiInSnPd after structural relaxation, computed with PBE.

Geometry as extended XYZ:
```
4
Lattice="0.000 3.345 3.345 3.345 0.000 3.345 3.345 3.345 0.000" Properties=species:S:1:pos:R:3 pbc="T T T"
Li 0.000 0.000 0.000
In 5.017 5.017 5.017
Sn 1.672 1.672 1.672
Pd 3.345 3.345 3.345
```

Computed properties:
energy of formation = -158 kJ/mol of formula units
N(E_F) = 1.16 states/eV/f.u.

=====

Record 4
CsTlRh after structural relaxation, computed with PBE.

Geometry as extended XYZ:
```
6
Lattice="4.989 0.000 0.000 0.000 4.989 0.000 0.000 0.000 8.345" Properties=species:S:1:pos:R:3 pbc="T T T"
Cs 1.247 1.247 1.413
Cs 3.742 3.742 6.932
Tl 1.247 1.247 5.274
Tl 3.742 3.742 3.071
Rh 1.247 3.742 4.173
Rh 3.742 1.247 4.173
```

Computed properties:
energy of formation = 33 kJ/mol of formula units
N(E_F) = 1.74 states/eV/f.u.

=====

Record 5
LiY2Re after structural relaxation, computed with PBE.

Geometry as extended XYZ:
```
4
Lattice="4.292 -1.653 0.000 4.292 1.653 0.000 -0.982 0.000 6.840" Properties=species:S:1:pos:R:3 pbc="T T T"
Li 0.000 0.000 0.000
Y 1.314 0.000 4.895
Y 6.287 0.000 1.945
Re 3.801 0.000 3.420
```

Computed properties:
energy of formation = 149 kJ/mol of formula units
N(E_F) = 3.24 states/eV/f.u.

=====

Record 6
NaLi2Os2O7 after structural relaxation, computed with PBE.

Geometry as extended XYZ:
```
12
Lattice="-1.913 1.913 9.135 1.913 -1.913 9.135 1.913 1.913 -9.135" Properties=species:S:1:pos:R:3 pbc="T T T"
Na 0.000 0.000 0.000
Li 1.913 0.000 4.568
Li 0.000 1.913 4.568
Os 0.000 0.000 7.142
Os 0.000 0.000 11.129
O 1.913 0.000 1.957
O 0.000 0.000 5.223
O 1.913 0.000 7.179
O 0.000 0.000 9.135
O 0.000 1.913 1.957
O 0.000 0.000 13.048
O 0.000 1.913 7.179
```

Computed properties:
formation energy without anion corrections = -1.362 eV per atom
N(E_F) = 5.07 states/eV/f.u.

=====

Record 7
AcSm5Tm3 after structural relaxation, computed with PBE.

Geometry as extended XYZ:
```
18
Lattice="7.646 -5.008 0.000 7.646 5.008 0.000 -4.512 0.000 7.882" Properties=species:S:1:pos:R:3 pbc="T T T"
Ac 4.263 4.032 5.911
Ac 6.518 -4.032 1.970
Sm 2.202 1.064 0.560
Sm 0.888 0.704 7.080
Sm -0.053 -1.064 4.501
Sm 3.144 -0.704 3.140
Sm 4.263 0.613 5.911
Sm 6.518 -0.613 1.970
Sm 7.637 0.704 4.742
Sm 10.834 1.064 3.381
Sm 9.893 -0.704 0.801
Sm 8.579 -1.064 7.322
Tm 1.567 2.504 3.941
Tm 4.845 2.449 2.637
Tm 8.192 2.449 1.304
Tm 3.823 -2.504 0.000
Tm 2.589 -2.449 6.578
Tm 5.936 -2.449 5.245
```

Computed properties:
energy of formation = 73 kJ/mol of formula units
N(E_F) = 13.67 states/eV/f.u.

=====

Record 8
Ce2Cu2Ge3 after structural relaxation, computed with PBE.

Geometry as extended XYZ:
```
7
Lattice="5.021 -2.111 0.000 5.021 2.111 0.000 -2.148 0.000 6.389" Properties=species:S:1:pos:R:3 pbc="T T T"
Ce 0.868 0.000 1.833
Ce 7.027 0.000 4.556
Cu -0.112 0.000 4.962
Cu 8.006 0.000 1.427
Ge 3.835 0.000 0.367
Ge 3.947 0.000 3.194
Ge 4.059 0.000 6.022
```

Computed properties:
energy of formation = -307 kJ/mol of formula units
energy above the lowest structure with this stoichiometry = 113 meV/atom
N(E_F) = 8.10 states/eV/f.u.